KMnBr2, single point on PBEsol structure, DFT SCAN; energy above the lowest structure with this stoichiometry = 0.00 eV per formula unit; crystal system = tetragonal; space group = P4/mmm; raw formation energy = -1079 meV per atom
1.0
5.253 0.000 0.000
0.000 5.253 0.000
0.000 0.000 3.971
K Mn Br
1 1 2
Cartesian
0.000 0.000 0.000
2.626 2.626 1.986
0.000 2.626 1.986
2.626 0.000 1.986

TmB12, single point on PBEsol structure, DFT SCAN; crystal system = cubic; energy of formation = -0.30 eV per atom; space group = Fm-3m
1.0
0.000 3.716 3.716
3.716 0.000 3.716
3.716 3.716 0.000
Tm B
1 12
Cartesian
0.000 0.000 0.000
3.716 2.460 2.460
4.971 3.716 2.460
4.971 2.460 3.716
2.460 3.716 2.460
3.716 4.971 2.460
2.460 2.460 3.716
4.971 4.971 3.716
3.716 2.460 4.971
4.971 3.716 4.971
2.460 4.971 3.716
2.460 3.716 4.971
3.716 4.971 4.971

Zr3Zn, single point on PBEsol structure, DFT SCAN; crystal system = tetragonal; energy of formation = -0.16 eV per atom; space group = P4/mmm
1.0
3.198 0.000 0.000
0.000 3.198 0.000
0.000 0.000 7.875
Zr Zn
3 1
Cartesian
0.000 0.000 0.000
1.599 1.599 2.160
1.599 1.599 5.715
0.000 0.000 3.938

Pt2AuBr, single point on PBEsol structure, DFT SCAN; crystal system = tetragonal; space group = P4mm; raw formation energy = 444 meV per atom
1.0
3.180 0.000 0.000
0.000 3.180 0.000
0.000 0.000 7.084
Pt Au Br
2 1 1
Cartesian
0.000 0.000 0.000
1.590 1.590 1.422
0.000 0.000 3.019
1.590 1.590 5.261